Computed, not measured: a geometry-optimized Ho6GeO12 structure at the GGA-PBE level of DFT.

Lattice parameters (Å, degrees): 6.4050 6.4050 6.4050 98.84 98.84 98.84
Atoms (fractional coordinates):
Ho1 0.1094 0.7925 0.6370
Ho2 0.2075 0.3630 0.8906
Ho3 0.3630 0.8906 0.2075
Ho4 0.6370 0.1094 0.7925
Ho5 0.7925 0.6370 0.1094
Ho6 0.8906 0.2075 0.3630
Ge1 0.5000 0.5000 0.5000
O1 0.0584 0.9126 0.3223
O2 0.0874 0.6777 0.9416
O3 0.2017 0.4344 0.5405
O4 0.3223 0.0584 0.9126
O5 0.4344 0.5405 0.2017
O6 0.4595 0.7983 0.5656
O7 0.5405 0.2017 0.4344
O8 0.5656 0.4595 0.7983
O9 0.6777 0.9416 0.0874
O10 0.7983 0.5656 0.4595
O11 0.9126 0.3223 0.0584
O12 0.9416 0.0874 0.6777

Properties
For the total energy, the calculation gives -7.8706 eV per atom. The symmetry is No. 148. The uncorrected formation energy is -3.050 eV per atom.


Computed, not measured: a geometry-optimized Hf2SnHg structure at the GGA-PBE level of DFT.

Lattice parameters (Å, degrees): 6.3250 6.3250 6.3250 103.41 103.41 122.42
Atoms (fractional coordinates):
Hf1 0.1205 0.6250 0.9955
Hf2 0.3750 0.3705 0.4955
Hf3 0.6295 0.1250 0.0045
Hf4 0.8750 0.8795 0.5045
Sn1 0.2500 0.7500 0.5000
Sn2 0.5000 0.5000 0.0000
Hg1 0.0000 0.0000 0.0000
Hg2 0.7500 0.2500 0.5000

Properties
For the total energy, the calculation gives -5.9351 eV per atom. The calculation puts the formation enthalpy at 0 K at 118 meV/atom. The symmetry is No. 122.